DFT (PBE) results for a relaxed ScAl3 crystal.

CIF file:
```
data_ScAl3
_cell_length_a 3.4252
_cell_length_b 3.4252
_cell_length_c 6.2280
_cell_angle_alpha 90.00
_cell_angle_beta 90.00
_cell_angle_gamma 90.00
_space_group_name_H-M_alt 'P 4/m m m'
_space_group_IT_number 123
_space_group_name_Hall '-P 4 2'
loop_
_atom_site_label
_atom_site_fract_x
_atom_site_fract_y
_atom_site_fract_z
_atom_site_occupancy
Sc1 0.0000 0.0000 0.0000 1
Al1 0.0000 0.0000 0.5000 1
Al2 0.5000 0.5000 0.2779 1
```

**ΔE_f**: -0.9 eV/f.u.
**Uncorrected energy**: -4.609 eV/atom
**D(E_F)**: 2.34 states/eV/cell

***

DFT (PBE) results for a relaxed Sc3Al crystal.

CIF file:
```
data_Sc3Al
_cell_length_a 3.2257
_cell_length_b 4.3857
_cell_length_c 6.2102
_cell_angle_alpha 90.00
_cell_angle_beta 90.00
_cell_angle_gamma 90.00
_space_group_name_H-M_alt 'P m m m'
_space_group_IT_number 47
loop_
_space_group_symop_operation_xyz
'x,y,z'
'-x,-y,-z'
'-x,-y,z'
'x,y,-z'
'x,-y,-z'
'-x,y,z'
'-x,y,-z'
'x,-y,z'
loop_
_atom_site_label
_atom_site_fract_x
_atom_site_fract_y
_atom_site_fract_z
_atom_site_occupancy
Sc1 0.0000 0.0000 0.0000 1
Sc2 0.5000 0.5000 0.2566 1
Al1 0.0000 0.0000 0.5000 1
```

**ΔE_f**: -0.7 eV/f.u.
**Uncorrected energy**: -5.857 eV/atom
**D(E_F)**: 6.08 states/eV/cell

***

DFT (PBE) results for a relaxed Sc2Al3 crystal.

CIF file:
```
data_Sc2Al3
_cell_length_a 5.4134
_cell_length_b 9.6157
_cell_length_c 7.6630
_cell_angle_alpha 90.00
_cell_angle_beta 90.00
_cell_angle_gamma 90.00
_space_group_name_H-M_alt 'C m c e'
_space_group_IT_number 64
_space_group_name_Hall '-C 2ac 2'
loop_
_atom_site_label
_atom_site_fract_x
_atom_site_fract_y
_atom_site_fract_z
_atom_site_occupancy
Sc1 0.0000 0.1497 0.0964 1
Al1 0.0000 0.0000 0.5000 1
Al2 0.2500 0.1121 0.7500 1
```

**ΔE_f**: -1.8 eV/f.u.
**Uncorrected energy**: -5.133 eV/atom
**D(E_F)**: 20.99 states/eV/cell

***

DFT (PBE) results for a relaxed Sc2Al crystal.

CIF file:
```
data_Sc2Al
_cell_length_a 3.1687
_cell_length_b 3.1687
_cell_length_c 12.6819
_cell_angle_alpha 90.00
_cell_angle_beta 90.00
_cell_angle_gamma 90.00
_space_group_name_H-M_alt 'I 4/m m m'
_space_group_IT_number 139
_space_group_name_Hall '-I 4 2'
loop_
_atom_site_label
_atom_site_fract_x
_atom_site_fract_y
_atom_site_fract_z
_atom_site_occupancy
Sc1 0.0000 0.0000 0.1540 1
Al1 0.0000 0.0000 0.5000 1
```

**ΔE_f**: -0.9 eV/f.u.
**Uncorrected energy**: -5.778 eV/atom
**D(E_F)**: 5.38 states/eV/cell

***

DFT (PBE) results for a relaxed Sc2Al crystal.

CIF file:
```
data_Sc2Al
_cell_length_a 11.0099
_cell_length_b 3.2566
_cell_length_c 7.8081
_cell_angle_alpha 90.00
_cell_angle_beta 112.56
_cell_angle_gamma 90.00
_space_group_name_H-M_alt 'C 1 2/m 1'
_space_group_IT_number 12
loop_
_space_group_symop_operation_xyz
'x,y,z'
'-x,-y,-z'
'-x,y,-z'
'x,-y,z'
'x+1/2,y+1/2,z'
'-x+1/2,-y+1/2,-z'
'-x+1/2,y+1/2,-z'
'x+1/2,-y+1/2,z'
loop_
_atom_site_label
_atom_site_fract_x
_atom_site_fract_y
_atom_site_fract_z
_atom_site_occupancy
Sc1 0.0111 0.0000 0.2162 1
Sc2 0.1632 0.5000 0.6071 1
Al1 0.1834 0.5000 0.0714 1
```

**ΔE_f**: -0.7 eV/f.u.
**Uncorrected energy**: -5.697 eV/atom
**D(E_F)**: 16.46 states/eV/cell

***

DFT (PBE) results for a relaxed ScAl3 crystal.

CIF file:
```
data_ScAl3
_cell_length_a 3.1786
_cell_length_b 4.6702
_cell_length_c 4.9104
_cell_angle_alpha 90.00
_cell_angle_beta 90.00
_cell_angle_gamma 90.00
_space_group_name_H-M_alt 'P m m 2'
_space_group_IT_number 25
loop_
_space_group_symop_operation_xyz
'x,y,z'
'-x,-y,z'
'-x,y,z'
'x,-y,z'
loop_
_atom_site_label
_atom_site_fract_x
_atom_site_fract_y
_atom_site_fract_z
_atom_site_occupancy
Sc1 0.0000 0.0000 0.0000 1
Al1 0.0000 0.5000 0.6293 1
Al2 0.5000 0.0000 0.5012 1
Al3 0.5000 0.5000 0.1411 1
```

**ΔE_f**: -0.9 eV/f.u.
**Uncorrected energy**: -4.618 eV/atom
**D(E_F)**: 1.97 states/eV/cell

***

DFT (PBE) results for a relaxed Sc3Al crystal.

CIF file:
```
data_Sc3Al
_cell_length_a 3.2250
_cell_length_b 3.2250
_cell_length_c 8.4890
_cell_angle_alpha 90.00
_cell_angle_beta 90.00
_cell_angle_gamma 90.00
_space_group_name_H-M_alt 'P 4/m m m'
_space_group_IT_number 123
_space_group_name_Hall '-P 4 2'
loop_
_atom_site_label
_atom_site_fract_x
_atom_site_fract_y
_atom_site_fract_z
_atom_site_occupancy
Sc1 0.0000 0.0000 0.0000 1
Sc2 0.5000 0.5000 0.2770 1
Al1 0.0000 0.0000 0.5000 1
```

**ΔE_f**: -0.9 eV/f.u.
**Uncorrected energy**: -5.908 eV/atom
**D(E_F)**: 4.65 states/eV/cell

***

DFT (PBE) results for a relaxed ScAl8 crystal.

CIF file:
```
data_ScAl8
_cell_length_a 8.7470
_cell_length_b 8.7470
_cell_length_c 4.0441
_cell_angle_alpha 90.00
_cell_angle_beta 90.00
_cell_angle_gamma 90.00
_space_group_name_H-M_alt 'I 4/m m m'
_space_group_IT_number 139
_space_group_name_Hall '-I 4 2'
loop_
_atom_site_label
_atom_site_fract_x
_atom_site_fract_y
_atom_site_fract_z
_atom_site_occupancy
Sc1 0.0000 0.0000 0.0000 1
Al1 0.0000 0.3380 0.0000 1
Al2 0.1707 0.1707 0.5000 1
```

**ΔE_f**: -1.0 eV/f.u.
**Uncorrected energy**: -4.144 eV/atom
**D(E_F)**: 9.02 states/eV/cell

***

Q: Look up the D(E_F) of the third one.
A: 20.99 states/eV/cell

***

Q: Which of these has the lowest D(E_F)?
A: number 6

***

Q: Which value of ΔE_f does entry 4 give?
A: -0.9 eV/f.u.

***

Q: Which value of ΔE_f does entry 8 give?
A: -1.0 eV/f.u.